Below is a geometry-optimized La2CePmSb4 structure, with properties calculated at the GGA-PBE level.

```
data_La2CePmSb4
_space_group_name_H-M_alt 'P 1'
_space_group_IT_number 1
_cell_length_a 4.562
_cell_length_b 7.907
_cell_length_c 7.898
_cell_angle_alpha 70.56
_cell_angle_beta 90.00
_cell_angle_gamma 90.00
loop_
_space_group_symop_operation_xyz
'x,y,z'
loop_
_atom_site_label
_atom_site_type_symbol
_atom_site_fract_x
_atom_site_fract_y
_atom_site_fract_z
La1 La 0.000 0.000 0.000
La2 La 0.500 0.000 0.500
Ce1 Ce 0.500 0.500 0.000
Pm1 Pm 0.000 0.500 0.500
Sb1 Sb 0.000 0.742 0.753
Sb2 Sb 0.000 0.258 0.247
Sb3 Sb 0.500 0.743 0.251
Sb4 Sb 0.500 0.257 0.749
```

The space-group type is P2/m, No. 10. As for the total moment: 0.7 μB per cell. The formation energy (no corrections) comes out at -1198 meV/atom. The value obtained for the electronic total energy is -0.214 hartree per atom. For the density of states at the Fermi level, the calculation gives 6.916 states/eV/cell.